Record 1
# HfZr5Te2

A relaxed HfZr5Te2 crystal (GGA-PBE, the Alexandria database).

## Properties
The space-group type is Immm, No. 71. Its total DFT energy (no corrections) is -7.738 eV per atom. Its formation energy without anion corrections is -0.3660 eV per atom. The magnetic moment comes out at 0.00 μB/f.u.

abc: 3.6900 7.0335 15.0049
angles: 90.00 90.00 90.00
With the nearest neighbours (Å) after each atom.
Sites, in units of the cell vectors:
Hf1 0.0000 0.0000 0.0000  8 Zr 3.06
Hf2 0.5000 0.5000 0.5000  8 Zr 3.06
Zr1 0.0000 0.2693 0.3787  3 Te 2.95-3.02, 2 Hf 3.06, 3 Zr 3.21-3.24
Zr2 0.0000 0.2693 0.6213  3 Te 2.95-3.02, 2 Hf 3.06, 3 Zr 3.21-3.24
Zr3 0.0000 0.5000 0.0000  2 Te 3.14, 8 Zr 3.21
Zr4 0.0000 0.7307 0.3787  3 Te 2.95-3.02, 2 Hf 3.06, 3 Zr 3.21-3.24
Zr5 0.0000 0.7307 0.6213  3 Te 2.95-3.02, 2 Hf 3.06, 3 Zr 3.21-3.24
Zr6 0.5000 0.0000 0.5000  2 Te 3.14, 8 Zr 3.21
Zr7 0.5000 0.2307 0.1213  3 Te 2.95-3.02, 2 Hf 3.06, 3 Zr 3.21-3.24
Zr8 0.5000 0.2307 0.8787  3 Te 2.95-3.02, 2 Hf 3.06, 3 Zr 3.21-3.24
Zr9 0.5000 0.7693 0.1213  3 Te 2.95-3.02, 2 Hf 3.06, 3 Zr 3.21-3.24
Zr10 0.5000 0.7693 0.8787  3 Te 2.95-3.02, 2 Hf 3.06, 3 Zr 3.21-3.24
Te1 0.0000 0.5000 0.2090  7 Zr 2.95-3.14
Te2 0.0000 0.5000 0.7910  7 Zr 2.95-3.14
Te3 0.5000 0.0000 0.2910  7 Zr 2.95-3.14
Te4 0.5000 0.0000 0.7090  7 Zr 2.95-3.14

Record 2
# HfZrTe3

A relaxed HfZrTe3 crystal (GGA-PBE, the Alexandria database).

## Properties
The space-group type is Pm, No. 6. Its total DFT energy (no corrections) is -6.180 eV per atom. The value obtained for the energy relative to the lowest polymorph listed for this composition is 236 meV per atom. Its formation energy without anion corrections is -0.5952 eV per atom. The magnetic moment comes out at 0.00 μB/f.u.

abc: 5.9817 3.9260 7.3002
angles: 90.00 112.84 90.00
With the nearest neighbours (Å) after each atom.
Sites, in units of the cell vectors:
Hf1 0.0000 0.0000 0.0000  5 Te 2.82-2.91
Zr1 0.5498 0.5000 0.6926  5 Te 2.86-3.02
Te1 0.0634 0.5000 0.7293  2 Hf 2.91, 2 Zr 2.98-3.02
Te2 0.3869 0.0000 0.3836  1 Hf 2.86, 2 Zr 2.86
Te3 0.7500 0.5000 0.1241  2 Hf 2.82, 1 Zr 2.90

Record 3
# Hf5ZrTe2

A relaxed Hf5ZrTe2 crystal (GGA-PBE, the Alexandria database).

## Properties
The space-group type is Immm, No. 71. Its total DFT energy (no corrections) is -8.279 eV per atom. Its formation energy without anion corrections is -0.2045 eV per atom. The magnetic moment comes out at 0.00 μB/f.u.

abc: 3.6164 9.2730 10.8428
angles: 90.00 90.00 90.00
With the nearest neighbours (Å) after each atom.
Sites, in units of the cell vectors:
Hf1 0.0000 0.0000 0.0000  2 Te 2.98, 8 Hf 3.01
Hf2 0.0000 0.2993 0.3591  3 Te 2.92-2.97, 5 Hf 3.01-3.12
Hf3 0.0000 0.2993 0.6409  3 Te 2.92-2.97, 5 Hf 3.01-3.12
Hf4 0.0000 0.7007 0.3591  3 Te 2.92-2.97, 5 Hf 3.01-3.12
Hf5 0.0000 0.7007 0.6409  3 Te 2.92-2.97, 5 Hf 3.01-3.12
Hf6 0.5000 0.2007 0.1409  3 Te 2.92-2.97, 5 Hf 3.01-3.12
Hf7 0.5000 0.2007 0.8591  3 Te 2.92-2.97, 5 Hf 3.01-3.12
Hf8 0.5000 0.5000 0.5000  2 Te 2.98, 8 Hf 3.01
Hf9 0.5000 0.7993 0.1409  3 Te 2.92-2.97, 5 Hf 3.01-3.12
Hf10 0.5000 0.7993 0.8591  3 Te 2.92-2.97, 5 Hf 3.01-3.12
Zr1 0.0000 0.5000 0.0000  4 Te 3.04
Zr2 0.5000 0.0000 0.5000  4 Te 3.04
Te1 0.0000 0.0000 0.2747  7 Hf 2.92-2.98, 2 Zr 3.04
Te2 0.0000 0.0000 0.7253  7 Hf 2.92-2.98, 2 Zr 3.04
Te3 0.5000 0.5000 0.2253  7 Hf 2.92-2.98, 2 Zr 3.04
Te4 0.5000 0.5000 0.7747  7 Hf 2.92-2.98, 2 Zr 3.04

Record 4
# HfZrTe2

A relaxed HfZrTe2 crystal (GGA-PBE, the Alexandria database).

## Properties
The space-group type is R-3m, No. 166. Its total DFT energy (no corrections) is -6.417 eV per atom. The value obtained for the energy relative to the lowest polymorph listed for this composition is 428 meV per atom. Its formation energy without anion corrections is -0.2203 eV per atom. The magnetic moment comes out at 0.41 μB/f.u.

abc: 3.6082 3.6082 29.1589
angles: 90.00 90.00 120.00
With the nearest neighbours (Å) after each atom.
Sites, in units of the cell vectors:
Hf1 0.0000 0.0000 0.0000  2 Te 2.84
Hf2 0.3333 0.6667 0.6667  2 Te 2.84
Hf3 0.6667 0.3333 0.3333  2 Te 2.84
Zr1 0.0000 0.0000 0.5000  6 Te 2.90
Zr2 0.3333 0.6667 0.1667  6 Te 2.90
Zr3 0.6667 0.3333 0.8333  6 Te 2.90
Te1 0.0000 0.0000 0.0975  1 Hf 2.84, 3 Zr 2.90
Te2 0.0000 0.0000 0.9025  1 Hf 2.84, 3 Zr 2.90
Te3 0.3333 0.6667 0.5691  1 Hf 2.84, 3 Zr 2.90
Te4 0.3333 0.6667 0.7642  1 Hf 2.84, 3 Zr 2.90
Te5 0.6667 0.3333 0.2358  1 Hf 2.84, 3 Zr 2.90
Te6 0.6667 0.3333 0.4309  1 Hf 2.84, 3 Zr 2.90

Record 5
# HfZrTe2

A relaxed HfZrTe2 crystal (GGA-PBE, the Alexandria database).

## Properties
The space-group type is P4/mmm, No. 123. Its total DFT energy (no corrections) is -6.844 eV per atom. The value obtained for the energy relative to the lowest polymorph listed for this composition is 0 meV per atom. Its formation energy without anion corrections is -0.6481 eV per atom. The magnetic moment comes out at 0.00 μB/f.u.

abc: 3.5503 3.5503 7.1033
angles: 90.00 90.00 90.00
With the nearest neighbours (Å) after each atom.
Sites, in units of the cell vectors:
Hf1 0.0000 0.0000 0.0000  8 Te 3.07
Zr1 0.0000 0.0000 0.5000  8 Te 3.08
Te1 0.5000 0.5000 0.2486  4 Hf 3.07, 4 Zr 3.08
Te2 0.5000 0.5000 0.7514  4 Hf 3.07, 4 Zr 3.08

Record 6
# HfZr4Te8

A relaxed HfZr4Te8 crystal (GGA-PBE, the Alexandria database).

## Properties
The space-group type is R-3m, No. 166. Its total DFT energy (no corrections) is -6.170 eV per atom. Its formation energy without anion corrections is -0.8406 eV per atom. The magnetic moment comes out at 0.00 μB/f.u.

abc: 8.2832 8.2832 8.2832
angles: 57.63 57.63 57.63
With the nearest neighbours (Å) after each atom.
Sites, in units of the cell vectors:
Hf1 0.0000 0.0000 0.0000  6 Te 2.86
Zr1 0.0000 0.0000 0.5000  6 Te 2.91-2.97
Zr2 0.0000 0.5000 0.0000  6 Te 2.91-2.97
Zr3 0.5000 0.0000 0.0000  6 Te 2.91-2.97
Zr4 0.5000 0.5000 0.5000  6 Te 2.90
Te1 0.2489 0.2489 0.7361  1 Hf 2.86, 3 Zr 2.90-2.97
Te2 0.2489 0.7361 0.2489  1 Hf 2.86, 3 Zr 2.90-2.97
Te3 0.2526 0.2526 0.2526  3 Zr 2.91
Te4 0.2639 0.7511 0.7511  1 Hf 2.86, 3 Zr 2.90-2.97
Te5 0.7361 0.2489 0.2489  1 Hf 2.86, 3 Zr 2.90-2.97
Te6 0.7474 0.7474 0.7474  3 Zr 2.91
Te7 0.7511 0.2639 0.7511  1 Hf 2.86, 3 Zr 2.90-2.97
Te8 0.7511 0.7511 0.2639  1 Hf 2.86, 3 Zr 2.90-2.97

Number 1: N(E_F) 8.30 states/eV/f.u.. Number 2: N(E_F) 2.03 states/eV/f.u.. Number 3: N(E_F) 6.58 states/eV/f.u.. Number 4: N(E_F) 5.28 states/eV/f.u.. Number 5: N(E_F) 1.43 states/eV/f.u.. Number 6: N(E_F) 7.95 states/eV/f.u..